# 1
Entry from the Alexandria database: a relaxed ScBeIr2 crystal (PBEsol).

Values from the calculation:
Formation enthalpy at 0 K   -332 meV/atom

```
ScBeIr2
1.0
-0.044 -0.901 -2.619
0.771 -4.471 1.814
-4.465 2.089 0.676
Sc Be Ir
1 1 2
Direct
0.500 0.000 0.000 Sc
0.000 0.500 0.000 Be
0.000 0.000 0.500 Ir
0.500 0.500 0.500 Ir
```



# 2
Entry from the Alexandria database: a relaxed ScBeIr2 crystal (PBEsol).

Values from the calculation:
Formation enthalpy at 0 K   -59 meV/atom

```
ScBeIr2
1.0
-0.194 -0.598 -3.908
-3.603 -1.583 0.421
-1.424 8.401 0.790
Sc Be Ir
2 2 4
Direct
0.250 0.750 0.500 Sc
0.000 0.000 0.000 Sc
0.750 0.250 0.500 Be
0.500 0.500 0.000 Be
0.816 0.375 0.250 Ir
0.434 0.875 0.250 Ir
0.625 0.566 0.750 Ir
0.125 0.184 0.750 Ir
```



# 3
Entry from the Alexandria database: a relaxed ScBeIr2 crystal (PBEsol).

Values from the calculation:
Formation enthalpy at 0 K   -463 meV/atom

```
ScBeIr2
1.0
-0.104 -0.849 -2.859
4.107 0.638 -0.339
-1.248 -4.101 2.821
Sc Be Ir
1 1 2
Direct
0.505 0.505 0.010 Sc
0.273 0.773 0.546 Be
0.982 0.982 0.963 Ir
0.740 0.240 0.480 Ir
```



# 4
Entry from the Alexandria database: a relaxed ScBeTeIr2 crystal (PBEsol).

Values from the calculation:
ΔE_f (raw)   -0.12 eV per formula unit

```
ScBeTeIr2
1.0
-0.637 -1.756 -3.732
2.702 -3.032 0.965
-3.480 -2.533 1.786
Sc Be Ir Te
1 1 2 1
Direct
0.000 0.000 0.500 Sc
0.000 0.000 0.000 Be
0.000 0.500 0.000 Ir
0.500 0.000 0.000 Ir
0.500 0.500 0.500 Te
```



# 5
Entry from the Alexandria database: a relaxed Be2IrSe crystal (PBEsol).

Values from the calculation:
ΔE_f (raw)   0.18 eV per formula unit
ΔE to the lowest computed polymorph   0.060 eV/atom

```
Be2IrSe
1.0
-0.130 2.773 0.583
-1.021 -0.885 3.981
4.200 0.191 0.029
Be Ir Se
2 1 1
Direct
0.000 0.500 0.000 Be
0.000 0.000 0.500 Be
0.500 0.000 0.000 Ir
0.500 0.500 0.500 Se
```



# 6
Entry from the Alexandria database: a relaxed BeIrSe2 crystal (PBEsol).

Values from the calculation:
ΔE_f (raw)   0.61 eV per formula unit
ΔE to the lowest computed polymorph   0.000 eV/atom

```
BeIrSe2
1.0
-1.175 -1.748 -2.267
1.868 -1.195 -2.158
1.198 -7.142 2.773
Be Ir Se
1 1 2
Direct
0.500 0.500 0.500 Be
0.000 0.000 0.000 Ir
0.896 0.896 0.312 Se
0.104 0.104 0.688 Se
```



# 7
Entry from the Alexandria database: a relaxed BeIrSe2 crystal (PBEsol).

Values from the calculation:
ΔE_f (raw)   1.13 eV per formula unit
ΔE to the lowest computed polymorph   0.130 eV/atom

```
BeIrSe2
1.0
-2.001 -1.988 3.348
3.897 1.595 1.195
-2.310 3.435 -1.423
Be Ir Se
1 1 2
Direct
0.000 0.000 0.000 Be
0.000 0.500 0.500 Ir
0.500 0.500 0.000 Se
0.500 0.000 0.500 Se
```



# 8
Entry from the Alexandria database: a relaxed Be2IrSe crystal (PBEsol).

Values from the calculation:
ΔE_f (raw)   -0.06 eV per formula unit
ΔE to the lowest computed polymorph   0.000 eV/atom

```
Be2IrSe
1.0
-2.151 -1.834 -0.915
2.101 -1.955 -1.020
0.050 -2.558 5.006
Be Ir Se
2 1 1
Direct
0.000 0.000 0.024 Be
0.500 0.500 0.250 Be
0.000 0.000 0.411 Ir
0.500 0.500 0.815 Se
```



no.,E_tot (eV/atom),size of the total moment (μB per formula unit)
1,-7.90,0.0
2,-7.62,0.0
3,-8.03,0.0
4,-6.78,0.0
5,-5.37,0.0
6,-5.23,0.0
7,-5.10,0.0
8,-5.43,0.0